1.
The following is a GGA-PBE calculation of a relaxed Be4AsP crystal, from the Alexandria database.

a b c (Å): 4.5506 4.5506 4.5506
angles (deg): 60.00 60.00 60.00
Last column: nearest neighbours and their distance in Å.
Positions (direct):
Be 0.1245 0.1245 0.1245  6 Be 2.27-2.28
Be 0.1245 0.1245 0.6265  6 Be 2.27-2.28
Be 0.1245 0.6265 0.1245  6 Be 2.27-2.28
Be 0.6265 0.1245 0.1245  6 Be 2.27-2.28
As 0.5000 0.5000 0.5000  12 Be 2.67, 4 P 2.79
P 0.7500 0.7500 0.7500  12 Be 2.67, 4 As 2.79

The density of states at the Fermi level is 0.291 states/eV per atom. The symmetry is F-43m (216).


2.
The following is a GGA-PBE calculation of a relaxed Be2AsP crystal, from the Alexandria database.

a b c (Å): 3.7604 4.8749 3.7883
angles (deg): 90.00 119.66 90.00
Last column: nearest neighbours and their distance in Å.
Positions (direct):
Be 0.0000 0.0000 0.0000  3 P 2.17-2.20
Be 0.0398 0.5000 0.4373  3 As 2.18-2.19
As 0.7082 0.5000 0.7730  3 Be 2.18-2.19
P 0.3266 0.0000 0.6609  3 Be 2.17-2.20

The density of states at the Fermi level is 0.125 states/eV per atom. The symmetry is Pm (6).


Number 1: spin magnetization 0.000 μB per atom, formation enthalpy at 0 K 462 meV per atom. Number 2: spin magnetization 0.000 μB per atom, formation enthalpy at 0 K -20 meV per atom.